(1)
The following is a DFT calculation (PBE) of Nd2Sm2CCl5 after structural relaxation.

Unit cell a=8.9854 b=8.9854 c=8.1052 alpha=103.72 beta=103.72 gamma=24.89
With the nearest neighbours (Å) after each atom.
Atoms (fractional coordinates):
Nd1 0.0014 0.0014 0.2858  2 C 2.61, 2 Cl 2.85-2.92
Nd2 0.9986 0.9986 0.7142  2 C 2.61, 2 Cl 2.85-2.92
Sm1 0.3550 0.3550 0.4168  1 C 2.47
Sm2 0.6450 0.6450 0.5832  1 C 2.47
C1 0.5000 0.5000 0.5000  2 Sm 2.47, 4 Nd 2.61
Cl1 0.1655 0.1655 0.8359  2 Sm 2.78, 1 Nd 2.85
Cl2 0.1723 0.1723 0.3486  3 Sm 2.84-3.12, 1 Nd 2.92
Cl3 0.5000 0.5000 0.0000  4 Nd 3.01
Cl4 0.8277 0.8277 0.6514  3 Sm 2.84-3.12, 1 Nd 2.92
Cl5 0.8345 0.8345 0.1641  2 Sm 2.78, 1 Nd 2.85

Values from the calculation:
Symmetry = C2/m
Raw total energy = -54.4 eV/cell


(2)
The following is a DFT calculation (PBE) of Na4InGeAu2 after structural relaxation.

Unit cell a=4.8989 b=4.8989 c=7.0447 alpha=90.00 beta=90.00 gamma=90.00
With the nearest neighbours (Å) after each atom.
Atoms (fractional coordinates):
Na1 0.0000 0.0000 0.0000  4 Au 3.06, 4 Na 3.08
Na2 0.0000 0.5000 0.7345  2 Ge 2.95, 4 Na 2.95-3.08, 2 In 3.08
Na3 0.5000 0.0000 0.2655  2 Ge 2.95, 4 Na 2.95-3.08, 2 In 3.08
Na4 0.5000 0.5000 0.5000  4 Na 2.95, 4 Au 2.98
In1 0.5000 0.5000 0.0000  4 Au 3.06, 4 Na 3.08
Ge1 0.0000 0.0000 0.5000  4 Na 2.95, 4 Au 2.98
Au1 0.0000 0.5000 0.2599  2 Ge 2.98, 4 Na 2.98-3.06, 2 In 3.06
Au2 0.5000 0.0000 0.7401  2 Ge 2.98, 4 Na 2.98-3.06, 2 In 3.06

Values from the calculation:
Symmetry = P-4m2
Raw total energy = -20.8 eV/cell


(3)
The following is a DFT calculation (PBE) of LiY2Hf after structural relaxation.

Unit cell a=5.2433 b=5.2433 c=5.2433 alpha=60.00 beta=60.00 gamma=60.00
With the nearest neighbours (Å) after each atom.
Atoms (fractional coordinates):
Li1 0.0000 0.0000 0.0000  4 Hf 3.21, 4 Y 3.21
Y1 0.5000 0.5000 0.5000  4 Hf 3.21, 4 Y 3.21
Y2 0.7500 0.7500 0.7500  4 Li 3.21, 4 Y 3.21
Hf1 0.2500 0.2500 0.2500  4 Li 3.21, 4 Y 3.21

Values from the calculation:
Symmetry = F-43m
Raw total energy = -23.2 eV/cell


(4)
The following is a DFT calculation (PBE) of UAg after structural relaxation.

Unit cell a=4.1905 b=4.1905 c=4.1905 alpha=60.00 beta=60.00 gamma=60.00
With the nearest neighbours (Å) after each atom.
Atoms (fractional coordinates):
U1 0.0000 0.0000 0.0000  6 Ag 2.96
Ag1 0.5000 0.5000 0.5000  6 U 2.96

Values from the calculation:
Symmetry = Fm-3m
Raw total energy = -12.0 eV/cell
Calculated formation energy = 1.07 eV/atom


(5)
The following is a DFT calculation (PBE) of KScPt after structural relaxation.

Unit cell a=4.8397 b=4.8397 c=4.8397 alpha=60.00 beta=60.00 gamma=60.00
With the nearest neighbours (Å) after each atom.
Atoms (fractional coordinates):
K1 0.0000 0.0000 0.0000  4 Pt 2.96
Sc1 0.5000 0.5000 0.5000  4 Pt 2.96
Pt1 0.2500 0.2500 0.2500  4 K 2.96, 4 Sc 2.96

Values from the calculation:
Symmetry = F-43m
E above lowest polymorph = 0 meV per atom
Raw total energy = -13.5 eV/cell


(6)
The following is a DFT calculation (PBE) of LuNbSb after structural relaxation.

Unit cell a=4.9188 b=4.9188 c=4.9188 alpha=60.00 beta=60.00 gamma=60.00
With the nearest neighbours (Å) after each atom.
Atoms (fractional coordinates):
Lu1 0.0000 0.0000 0.0000  4 Nb 3.01, 4 Sb 3.01
Nb1 0.7500 0.7500 0.7500  4 Lu 3.01
Sb1 0.2500 0.2500 0.2500  4 Lu 3.01

Values from the calculation:
Symmetry = F-43m
Raw total energy = -16.9 eV/cell


(7)
The following is a DFT calculation (PBE) of LaTmNO after structural relaxation.

Unit cell a=6.8838 b=7.9583 c=5.4853 alpha=90.00 beta=90.00 gamma=90.00
With the nearest neighbours (Å) after each atom.
Atoms (fractional coordinates):
La1 0.0769 0.1240 0.0000  3 N 2.37-2.63
La2 0.4231 0.1240 0.5000  3 N 2.37-2.63
La3 0.5769 0.8760 0.0000  3 N 2.37-2.63
La4 0.9231 0.8760 0.5000  3 N 2.37-2.63
Tm1 0.0924 0.6266 0.9793  1 N 2.15, 3 O 2.19-2.24
Tm2 0.4076 0.6266 0.4793  1 N 2.15, 3 O 2.19-2.24
Tm3 0.5924 0.3734 0.9793  1 N 2.15, 3 O 2.19-2.24
Tm4 0.9076 0.3734 0.4793  1 N 2.15, 3 O 2.19-2.24
N1 0.0813 0.1494 0.4771  1 Tm 2.15, 1 La 2.37
N2 0.4187 0.1494 0.9771  1 Tm 2.15, 1 La 2.37
N3 0.5813 0.8506 0.4771  1 Tm 2.15, 1 La 2.37
N4 0.9187 0.8506 0.9771  1 Tm 2.15, 1 La 2.37
O1 0.0965 0.5828 0.5828  3 Tm 2.19-2.24
O2 0.4035 0.5828 0.0828  3 Tm 2.19-2.24
O3 0.5965 0.4172 0.5828  3 Tm 2.19-2.24
O4 0.9035 0.4172 0.0828  3 Tm 2.19-2.24

Values from the calculation:
Symmetry = Pca2_1
E above lowest polymorph = 98 meV per atom
Raw total energy = -124.2 eV/cell


(8)
The following is a DFT calculation (PBE) of NdMg after structural relaxation.

Unit cell a=5.4746 b=13.6526 c=6.2464 alpha=90.00 beta=90.00 gamma=90.00
With the nearest neighbours (Å) after each atom.
Atoms (fractional coordinates):
Nd1 0.2500 0.0059 0.1601  6 Mg 3.33-3.72, 6 Nd 3.39-3.59
Nd2 0.2500 0.1238 0.6470  7 Mg 3.39-3.58, 5 Nd 3.44-3.59
Nd3 0.2500 0.3762 0.6470  7 Mg 3.39-3.58, 5 Nd 3.44-3.59
Nd4 0.2500 0.4941 0.1601  6 Mg 3.33-3.72, 6 Nd 3.39-3.59
Nd5 0.7500 0.5059 0.8399  6 Mg 3.33-3.72, 6 Nd 3.39-3.59
Nd6 0.7500 0.6238 0.3530  7 Mg 3.39-3.58, 5 Nd 3.44-3.59
Nd7 0.7500 0.8762 0.3530  7 Mg 3.39-3.58, 5 Nd 3.44-3.59
Nd8 0.7500 0.9941 0.8399  6 Mg 3.33-3.72, 6 Nd 3.39-3.59
Mg1 0.2500 0.2500 0.1500  6 Mg 3.28-3.36, 6 Nd 3.33-3.58
Mg2 0.2500 0.6320 0.6729  4 Mg 3.22-3.36, 6 Nd 3.39-3.58
Mg3 0.2500 0.7500 0.1381  4 Mg 3.28-3.32, 6 Nd 3.50
Mg4 0.2500 0.8680 0.6729  4 Mg 3.22-3.36, 6 Nd 3.39-3.58
Mg5 0.7500 0.1320 0.3271  4 Mg 3.22-3.36, 6 Nd 3.39-3.58
Mg6 0.7500 0.2500 0.8619  4 Mg 3.28-3.32, 6 Nd 3.50
Mg7 0.7500 0.3680 0.3271  4 Mg 3.22-3.36, 6 Nd 3.39-3.58
Mg8 0.7500 0.7500 0.8500  6 Mg 3.28-3.36, 6 Nd 3.33-3.58

Values from the calculation:
Symmetry = Pmmn
E above lowest polymorph = 139 meV per atom
Raw total energy = -50.1 eV/cell


(9)
The following is a DFT calculation (PBE) of GaHgMo after structural relaxation.

Unit cell a=4.3700 b=4.3700 c=4.3700 alpha=60.00 beta=60.00 gamma=60.00
With the nearest neighbours (Å) after each atom.
Atoms (fractional coordinates):
Ga1 0.0000 0.0000 0.0000  4 Hg 2.68, 4 Mo 2.68
Hg1 0.7500 0.7500 0.7500  4 Ga 2.68
Mo1 0.2500 0.2500 0.2500  4 Ga 2.68

Values from the calculation:
Symmetry = F-43m
E above lowest polymorph = 0 meV per atom
Raw total energy = -12.1 eV/cell


(10)
The following is a DFT calculation (PBE) of SiGePt2 after structural relaxation.

Unit cell a=3.6912 b=6.0882 c=5.7308 alpha=90.00 beta=90.00 gamma=90.00
With the nearest neighbours (Å) after each atom.
Atoms (fractional coordinates):
Si1 0.0000 0.1627 0.0000  6 Pt 2.42-2.69
Si2 0.0000 0.8373 0.5000  6 Pt 2.42-2.69
Ge1 0.5000 0.3385 0.6335  6 Pt 2.52-2.68
Ge2 0.5000 0.6615 0.1335  6 Pt 2.52-2.68
Pt1 0.0000 0.4338 0.3091  2 Si 2.42-2.69, 4 Ge 2.52-2.68
Pt2 0.0000 0.5662 0.8091  2 Si 2.42-2.69, 4 Ge 2.52-2.68
Pt3 0.5000 0.0494 0.3169  4 Si 2.48-2.68, 2 Ge 2.53-2.59
Pt4 0.5000 0.9506 0.8169  4 Si 2.48-2.68, 2 Ge 2.53-2.59

Values from the calculation:
Symmetry = Pmc2_1
E above lowest polymorph = 19 meV per atom
Raw total energy = -48.8 eV/cell